Entry 1:
{"formula": "Ce2ZrCu", "functional": "PBE", "state": "optimized geometry", "spacegroup": "No. 166", "magmom_total_mub_per_cell": 0.00, "ef_kj_per_mol_atoms": 25, "lattice": [[-0.700, -2.317, 1.838], [2.190, -1.418, 1.559], [-0.904, 5.871, 9.571]], "species": ["Cu", "Zr", "Ce", "Ce"], "frac_coords": [[0.500, 0.500, 0.500], [0.000, 0.000, 0.000], [0.092, 0.092, 0.723], [0.908, 0.908, 0.277]]}

=====

Entry 2:
{"formula": "LaTa2Co2", "functional": "PBE", "state": "optimized geometry", "spacegroup": "No. 139", "magmom_total_mub_per_cell": 0.00, "ef_kj_per_mol_atoms": -9, "lattice": [[-0.833, 1.329, 4.021], [-0.617, -4.092, 1.225], [4.251, -1.784, 3.786]], "species": ["La", "Co", "Co", "Ta", "Ta"], "frac_coords": [[0.000, 0.000, 0.000], [0.371, 0.371, 0.258], [0.629, 0.629, 0.742], [0.750, 0.250, 0.500], [0.250, 0.750, 0.500]]}

=====

Entry 3:
{"formula": "CoSi2Ni", "functional": "PBE", "state": "optimized geometry", "spacegroup": "No. 166", "final_energy_ry_per_atom": -0.4621, "magmom_total_mub_per_cell": 0.42, "lattice": [[7.517, -0.005, -0.003], [7.045, 2.623, -0.003], [7.045, 1.267, 2.297]], "species": ["Co", "Ni", "Si", "Si"], "frac_coords": [[0.250, 0.250, 0.250], [0.750, 0.750, 0.750], [0.998, 0.998, 0.998], [0.502, 0.502, 0.502]]}

=====

Entry 4:
{"formula": "TmFe12C4", "functional": "PBE", "state": "optimized geometry", "spacegroup": "No. 204", "magmom_total_mub_per_cell": 23.57, "ef_kj_per_mol_atoms": 12, "lattice": [[-2.376, 4.593, -3.500], [-4.307, -1.949, 4.079], [4.994, 2.113, 3.096]], "species": ["Tm", "Fe", "Fe", "Fe", "Fe", "Fe", "Fe", "Fe", "Fe", "Fe", "Fe", "Fe", "Fe", "C", "C", "C", "C"], "frac_coords": [[0.000, 0.000, 0.000], [0.816, 0.333, 0.148], [0.333, 0.517, 0.184], [0.852, 0.184, 0.667], [0.333, 0.148, 0.816], [0.148, 0.816, 0.333], [0.667, 0.483, 0.816], [0.517, 0.184, 0.333], [0.483, 0.816, 0.667], [0.667, 0.852, 0.184], [0.816, 0.667, 0.483], [0.184, 0.333, 0.517], [0.184, 0.667, 0.852], [0.000, 0.500, 0.000], [0.500, 0.000, 0.000], [0.500, 0.500, 0.500], [0.000, 0.000, 0.500]]}

=====

Entry 5:
{"formula": "K2LaPb", "functional": "PBE", "state": "optimized geometry", "spacegroup": "No. 8", "magmom_total_mub_per_cell": 0.50, "ef_kj_per_mol_atoms": 1, "lattice": [[5.602, -0.043, -0.004], [4.261, 3.637, -0.004], [0.925, 0.337, 9.424]], "species": ["K", "K", "La", "Pb"], "frac_coords": [[0.978, 0.978, 0.055], [0.753, 0.753, 0.718], [0.519, 0.519, 0.431], [0.250, 0.250, 0.296]]}

=====

Entry 6:
{"formula": "NaLa2F6", "functional": "PBE", "state": "optimized geometry", "spacegroup": "No. 139", "final_energy_ry_per_atom": -0.4489, "magmom_total_mub_per_cell": 1.06, "lattice": [[3.986, 0.000, -0.840], [-0.177, 3.982, -0.840], [-0.141, -0.147, 9.203]], "species": ["Na", "La", "La", "F", "F", "F", "F", "F", "F"], "frac_coords": [[0.000, 0.000, 0.000], [0.341, 0.341, 0.682], [0.659, 0.659, 0.318], [0.916, 0.416, 0.832], [0.416, 0.916, 0.832], [0.084, 0.584, 0.168], [0.750, 0.250, 0.500], [0.250, 0.750, 0.500], [0.584, 0.084, 0.168]]}

=====

Entry 7:
{"formula": "ErTl2Cu2Te4", "functional": "PBE", "state": "optimized geometry", "spacegroup": "No. 12", "final_energy_ry_per_atom": -0.2847, "magmom_total_mub_per_cell": 0.00, "lattice": [[4.187, 0.000, 0.000], [0.000, 8.550, 0.504], [-2.094, -2.945, 7.239]], "species": ["Er", "Tl", "Tl", "Cu", "Cu", "Te", "Te", "Te", "Te"], "frac_coords": [[0.000, 0.000, 0.000], [0.131, 0.553, 0.262], [0.869, 0.447, 0.738], [0.686, 0.992, 0.371], [0.314, 0.008, 0.629], [0.204, 0.189, 0.407], [0.796, 0.811, 0.593], [0.524, 0.760, 0.049], [0.476, 0.240, 0.951]]}

=====

Entry 8:
{"formula": "YTm6Te8", "functional": "PBE", "state": "optimized geometry", "spacegroup": "No. 148", "final_energy_ry_per_atom": -0.3629, "magmom_total_mub_per_cell": 0.60, "lattice": [[-7.910, 0.411, -0.530], [0.286, -4.384, -6.613], [-0.567, -6.572, 4.417]], "species": ["Y", "Tm", "Tm", "Tm", "Tm", "Tm", "Tm", "Te", "Te", "Te", "Te", "Te", "Te", "Te", "Te"], "frac_coords": [[0.000, 0.000, 0.000], [0.580, 0.439, 0.804], [0.439, 0.804, 0.580], [0.804, 0.580, 0.439], [0.420, 0.561, 0.196], [0.561, 0.196, 0.420], [0.196, 0.420, 0.561], [0.769, 0.769, 0.769], [0.231, 0.231, 0.231], [0.645, 0.871, 0.246], [0.871, 0.246, 0.645], [0.246, 0.645, 0.871], [0.355, 0.129, 0.754], [0.129, 0.754, 0.355], [0.754, 0.355, 0.129]]}